Entry 1:
This record from Alexandria describes an optimized crystal structure of Rb2Pr2HfSe6. The functional is PBE-GGA.

ΔE_f (raw) = -1717 kJ/mol of formula units
calculated total energy = -0.40188 Ry/atom
density of states at the Fermi level = 0.0000 states/eV/atom
M_tot = 0.000 μB/atom

a = 7.2645 Å, b = 7.2645 Å, c = 8.5643 Å
α = 98.59°, β = 98.59°, γ = 119.32°
Fractional coordinates of all 11 atoms:
Rb: 0.8277 0.1723 0.0000
Rb: 0.1723 0.8277 0.0000
Pr: 0.3332 0.6668 0.5000
Pr: 0.6668 0.3332 0.5000
Hf: 0.0000 0.0000 0.5000
Se: 0.7638 0.7638 0.6915
Se: 0.0678 0.3732 0.6934
Se: 0.2362 0.2362 0.3085
Se: 0.3732 0.0678 0.6934
Se: 0.9322 0.6268 0.3066
Se: 0.6268 0.9322 0.3066

Entry 2:
This record from Alexandria describes an optimized crystal structure of Rb4Pr3HfTe8. The functional is PBE-GGA.

ΔE_f (raw) = -1931 kJ/mol of formula units
calculated total energy = -0.33678 Ry/atom
density of states at the Fermi level = 0.2878 states/eV/atom
M_tot = 0.000 μB/atom

a = 9.1052 Å, b = 10.0878 Å, c = 9.1054 Å
α = 116.84°, β = 120.00°, γ = 90.00°
Fractional coordinates of all 16 atoms:
Rb: 0.5000 0.0000 0.0000
Rb: 0.5000 0.0000 0.5000
Rb: 0.0000 0.0000 0.0000
Rb: 0.0000 0.0000 0.5000
Pr: 0.5000 0.5000 0.0000
Pr: 0.5000 0.5000 0.5000
Pr: 0.0000 0.5000 0.5000
Hf: 0.0000 0.5000 0.0000
Te: 0.2212 0.6995 0.9784
Te: 0.2212 0.6995 0.4425
Te: 0.2626 0.2879 0.5252
Te: 0.7571 0.6995 0.9784
Te: 0.2429 0.3005 0.0216
Te: 0.7374 0.7121 0.4748
Te: 0.7788 0.3005 0.5575
Te: 0.7788 0.3005 0.0216

Entry 3:
This record from Alexandria describes an optimized crystal structure of Rb3Pr2HfTe6. The functional is PBE-GGA.

ΔE_f (raw) = -1394 kJ/mol of formula units
calculated total energy = -0.34124 Ry/atom
density of states at the Fermi level = 0.4189 states/eV/atom
M_tot = 0.000 μB/atom

a = 7.8178 Å, b = 7.8178 Å, c = 8.9899 Å
α = 98.38°, β = 98.38°, γ = 120.02°
Fractional coordinates of all 12 atoms:
Rb: 0.1738 0.8262 0.5000
Rb: 0.8262 0.1738 0.5000
Rb: 0.5000 0.5000 0.5000
Pr: 0.3342 0.6658 0.0000
Pr: 0.6658 0.3342 0.0000
Hf: 0.0000 0.0000 0.0000
Te: 0.9332 0.6243 0.7991
Te: 0.7602 0.7602 0.2032
Te: 0.0668 0.3757 0.2009
Te: 0.6243 0.9332 0.7991
Te: 0.2398 0.2398 0.7968
Te: 0.3757 0.0668 0.2009